Entry 1:
Here is HoThPb after structural relaxation from Alexandria via LeMat-Bulk. Energies are from GGA-PBE.

Geometry as POSCAR:
```
HoThPb
1.0
4.6073 0.0000 0.0000
0.0000 4.6073 0.0000
0.0000 0.0000 8.7832
Ho Th Pb
2 2 2
Cartesian
1.1518 1.1518 1.3117 Ho
3.4555 3.4555 7.4715 Ho
1.1518 3.4555 4.3916 Th
3.4555 1.1518 4.3916 Th
1.1518 1.1518 6.9483 Pb
3.4555 3.4555 1.8349 Pb
```

Results
crystal system = tetragonal
relative energy among the computed polymorphs = 40.9 meV per atom
SG = P4/nmm, No. 129
density of states at the Fermi level = 6.74 states/eV per cell
final energy = -5.53 eV/atom
E_form = -295.0 meV per atom

---

Entry 2:
Here is HoThPb2 after structural relaxation from Alexandria via LeMat-Bulk. Energies are from GGA-PBE.

Geometry as POSCAR:
```
HoThPb2
1.0
3.5879 0.0000 0.0000
-1.7939 3.1072 0.0000
0.0000 0.0000 32.0106
Ho Th Pb
3 3 6
Cartesian
0.0000 0.0000 0.0000 Ho
0.0000 2.0715 21.3404 Ho
1.7939 1.0357 10.6702 Ho
0.0000 0.0000 16.0053 Th
0.0000 2.0715 5.3351 Th
1.7939 1.0357 26.6755 Th
0.0000 0.0000 8.0932 Pb
0.0000 0.0000 23.9174 Pb
0.0000 2.0715 13.2472 Pb
0.0000 2.0715 29.4336 Pb
1.7939 1.0357 2.5770 Pb
1.7939 1.0357 18.7634 Pb
```

Results
crystal system = trigonal
relative energy among the computed polymorphs = 106.3 meV per atom
SG = R-3m, No. 166
density of states at the Fermi level = 11.54 states/eV per cell
final energy = -5.09 eV/atom
E_form = -237.7 meV per atom

---

Entry 3:
Here is HoThPb after structural relaxation from Alexandria via LeMat-Bulk. Energies are from GGA-PBE.

Geometry as POSCAR:
```
HoThPb
1.0
4.1251 0.0000 0.0000
0.0000 4.1251 0.0000
0.0000 0.0000 10.5415
Ho Th Pb
2 2 2
Cartesian
0.0000 0.0000 0.0000 Ho
2.0626 2.0626 5.2708 Ho
0.0000 0.0000 7.2554 Th
2.0626 2.0626 1.9846 Th
0.0000 0.0000 3.7405 Pb
2.0626 2.0626 9.0112 Pb
```

Results
crystal system = tetragonal
relative energy among the computed polymorphs = 167.6 meV per atom
SG = I4mm, No. 107
density of states at the Fermi level = 6.84 states/eV per cell
final energy = -5.40 eV/atom
E_form = -168.2 meV per atom

---

Entry 4:
Here is Ho2ThPb after structural relaxation from Alexandria via LeMat-Bulk. Energies are from GGA-PBE.

Geometry as POSCAR:
```
Ho2ThPb
1.0
4.9444 0.0000 0.0000
0.0000 4.9444 0.0000
0.0000 0.0000 4.7592
Ho Th Pb
2 1 1
Cartesian
0.0000 2.4722 0.0000 Ho
2.4722 0.0000 0.0000 Ho
0.0000 0.0000 2.3796 Th
2.4722 2.4722 2.3796 Pb
```

Results
crystal system = tetragonal
relative energy among the computed polymorphs = 0.0 meV per atom
SG = P4/mmm, No. 123
density of states at the Fermi level = 3.97 states/eV per cell
final energy = -5.30 eV/atom
E_form = -225.3 meV per atom

---

Entry 5:
Here is HoThPb6 after structural relaxation from Alexandria via LeMat-Bulk. Energies are from GGA-PBE.

Geometry as POSCAR:
```
HoThPb6
1.0
4.8973 0.0000 0.0000
0.0000 4.8973 0.0000
0.0000 0.0000 9.7521
Ho Th Pb
1 1 6
Cartesian
0.0000 0.0000 0.0000 Ho
0.0000 0.0000 4.8760 Th
0.0000 2.4487 2.3958 Pb
0.0000 2.4487 7.3563 Pb
2.4487 0.0000 2.3958 Pb
2.4487 0.0000 7.3563 Pb
2.4487 2.4487 0.0000 Pb
2.4487 2.4487 4.8760 Pb
```

Results
crystal system = tetragonal
SG = P4/mmm, No. 123
density of states at the Fermi level = 6.03 states/eV per cell
final energy = -4.52 eV/atom
E_form = -239.4 meV per atom

---

Entry 6:
Here is Ho2ThPb after structural relaxation from Alexandria via LeMat-Bulk. Energies are from GGA-PBE.

Geometry as POSCAR:
```
Ho2ThPb
1.0
3.6378 0.0000 0.0000
0.0000 3.6378 0.0000
0.0000 0.0000 9.0109
Ho Th Pb
2 1 1
Cartesian
0.0000 0.0000 2.1386 Ho
0.0000 0.0000 6.8723 Ho
1.8189 1.8189 4.5054 Th
1.8189 1.8189 0.0000 Pb
```

Results
crystal system = tetragonal
relative energy among the computed polymorphs = 6.0 meV per atom
SG = P4/mmm, No. 123
density of states at the Fermi level = 2.41 states/eV per cell
final energy = -5.29 eV/atom
E_form = -219.3 meV per atom

---

Entry 7:
Here is HoThTlPb after structural relaxation from Alexandria via LeMat-Bulk. Energies are from GGA-PBE.

Geometry as POSCAR:
```
HoThTlPb
1.0
7.7431 0.0000 0.0000
0.0000 7.7431 0.0000
0.0000 0.0000 7.7431
Ho Th Tl Pb
4 4 4 4
Cartesian
0.0000 0.0000 0.0000 Ho
0.0000 3.8715 3.8715 Ho
3.8715 0.0000 3.8715 Ho
3.8715 3.8715 0.0000 Ho
0.0000 0.0000 3.8715 Th
0.0000 3.8715 0.0000 Th
3.8715 0.0000 0.0000 Th
3.8715 3.8715 3.8715 Th
1.9358 1.9358 1.9358 Tl
1.9358 5.8073 5.8073 Tl
5.8073 1.9358 5.8073 Tl
5.8073 5.8073 1.9358 Tl
1.9358 1.9358 5.8073 Pb
1.9358 5.8073 1.9358 Pb
5.8073 1.9358 1.9358 Pb
5.8073 5.8073 5.8073 Pb
```

Results
crystal system = cubic
SG = F-43m, No. 216
density of states at the Fermi level = 17.39 states/eV per cell
final energy = -4.73 eV/atom
E_form = -213.4 meV per atom

---

Entry 8:
Here is HoThZnPb after structural relaxation from Alexandria via LeMat-Bulk. Energies are from GGA-PBE.

Geometry as POSCAR:
```
HoThZnPb
1.0
7.5435 0.0000 0.0000
0.0000 7.5435 0.0000
0.0000 0.0000 7.5435
Ho Th Zn Pb
4 4 4 4
Cartesian
0.0000 0.0000 0.0000 Ho
0.0000 3.7718 3.7718 Ho
3.7718 0.0000 3.7718 Ho
3.7718 3.7718 0.0000 Ho
0.0000 0.0000 3.7718 Th
0.0000 3.7718 0.0000 Th
3.7718 0.0000 0.0000 Th
3.7718 3.7718 3.7718 Th
1.8859 1.8859 1.8859 Zn
1.8859 5.6576 5.6576 Zn
5.6576 1.8859 5.6576 Zn
5.6576 5.6576 1.8859 Zn
1.8859 1.8859 5.6576 Pb
1.8859 5.6576 1.8859 Pb
5.6576 1.8859 1.8859 Pb
5.6576 5.6576 5.6576 Pb
```

Results
crystal system = cubic
SG = F-43m, No. 216
density of states at the Fermi level = 14.35 states/eV per cell
final energy = -4.47 eV/atom
E_form = -222.1 meV per atom

---

Entry 9:
Here is HoTl2Pb2 after structural relaxation from Alexandria via LeMat-Bulk. Energies are from GGA-PBE.

Geometry as POSCAR:
```
HoTl2Pb2
1.0
2.3174 -13.5234 0.0000
2.3174 13.5234 0.0000
0.0000 0.0000 4.6500
Ho Tl Pb
2 4 4
Cartesian
2.3174 9.4021 3.4875 Ho
2.3174 -9.4021 1.1625 Ho
2.3174 12.1505 1.1625 Tl
2.3174 1.3961 1.1625 Tl
2.3174 -1.3961 3.4875 Tl
2.3174 -12.1505 3.4875 Tl
2.3174 6.7466 1.1625 Pb
2.3174 3.9597 3.4875 Pb
2.3174 -3.9597 1.1625 Pb
2.3174 -6.7466 3.4875 Pb
```

Results
crystal system = orthorhombic
relative energy among the computed polymorphs = 0.0 meV per atom
SG = Cmcm, No. 63
density of states at the Fermi level = 6.04 states/eV per cell
final energy = -3.49 eV/atom
E_form = -145.0 meV per atom

---

Entry 10:
Here is Ho3Tl3Pb after structural relaxation from Alexandria via LeMat-Bulk. Energies are from GGA-PBE.

Geometry as POSCAR:
```
Ho3Tl3Pb
1.0
9.1155 0.0000 0.0000
-4.5578 7.8943 0.0000
0.0000 0.0000 5.3935
Ho Tl Pb
6 6 2
Cartesian
-2.0548 5.1120 1.3484 Ho
1.1580 3.5588 1.3484 Ho
3.6610 0.7765 4.0451 Ho
0.8967 7.1178 1.3484 Ho
3.3997 4.3355 4.0451 Ho
6.6125 2.7823 4.0451 Ho
-3.2406 6.3636 4.0451 Tl
0.6670 1.9061 4.0451 Tl
1.9842 0.3754 1.3484 Tl
2.5736 7.5189 4.0451 Tl
3.8908 5.9882 1.3484 Tl
7.7983 1.5307 1.3484 Tl
0.0000 5.2628 4.0451 Pb
4.5578 2.6314 1.3484 Pb
```

Results
crystal system = hexagonal
SG = P6_3/m, No. 176
density of states at the Fermi level = 12.68 states/eV per cell
final energy = -3.74 eV/atom
E_form = -236.4 meV per atom

---

Entry 11:
Here is HoTlPb2 after structural relaxation from Alexandria via LeMat-Bulk. Energies are from GGA-PBE.

Geometry as POSCAR:
```
HoTlPb2
1.0
4.1745 0.0000 0.0000
0.0000 4.1745 0.0000
0.0000 0.0000 6.7833
Ho Tl Pb
1 1 2
Cartesian
0.0000 0.0000 0.0000 Ho
0.0000 0.0000 3.3917 Tl
2.0872 2.0872 1.6048 Pb
2.0872 2.0872 5.1785 Pb
```

Results
crystal system = tetragonal
SG = P4/mmm, No. 123
density of states at the Fermi level = 3.99 states/eV per cell
final energy = -3.76 eV/atom
E_form = -172.8 meV per atom

---

Entry 12:
Here is Ho3TlPb after structural relaxation from Alexandria via LeMat-Bulk. Energies are from GGA-PBE.

Geometry as POSCAR:
```
Ho3TlPb
1.0
6.7651 -4.4621 0.0000
6.7651 4.4621 0.0000
-4.6280 0.0000 10.2755
Ho Tl Pb
12 4 4
Cartesian
1.3573 2.9044 9.5771 Ho
1.3792 0.3082 4.2191 Ho
4.0445 1.1923 2.1421 Ho
5.2310 2.9044 5.8362 Ho
-0.9347 -0.3082 9.3569 Ho
7.1718 1.1923 2.9957 Ho
1.7305 -1.1923 7.2798 Ho
9.8370 0.3082 0.9187 Ho
3.6713 -2.9044 4.4394 Ho
4.8578 -1.1923 8.1335 Ho
7.5231 -0.3082 6.0565 Ho
7.5450 -2.9044 0.6984 Ho
-0.1293 1.2284 6.6960 Tl
2.1847 -1.2284 1.5582 Tl
6.7176 1.2284 8.7173 Tl
9.0316 -1.2284 3.5796 Tl
5.6081 3.9860 2.5689 Pb
6.7651 0.0000 0.0000 Pb
4.4512 0.0000 5.1378 Pb
3.2942 -3.9860 7.7067 Pb
```

Results
crystal system = monoclinic
SG = C2/c, No. 15
density of states at the Fermi level = 15.36 states/eV per cell
final energy = -4.19 eV/atom
E_form = -224.2 meV per atom

---

Entry 13:
Here is Ho2TlPb3 after structural relaxation from Alexandria via LeMat-Bulk. Energies are from GGA-PBE.

Geometry as POSCAR:
```
Ho2TlPb3
1.0
4.6211 0.0000 0.0000
0.0000 15.4916 0.0000
0.0000 0.0000 4.7039
Ho Tl Pb
4 2 6
Cartesian
0.0000 2.3349 0.0000 Ho
0.0000 13.1567 0.0000 Ho
2.3106 5.4109 0.0000 Ho
2.3106 10.0807 0.0000 Ho
0.0000 0.0000 2.3520 Tl
2.3106 7.7458 2.3520 Tl
0.0000 5.0411 2.3520 Pb
0.0000 7.7458 0.0000 Pb
0.0000 10.4504 2.3520 Pb
2.3106 0.0000 0.0000 Pb
2.3106 2.7046 2.3520 Pb
2.3106 12.7869 2.3520 Pb
```

Results
crystal system = orthorhombic
relative energy among the computed polymorphs = 0.0 meV per atom
SG = Cmmm, No. 65
density of states at the Fermi level = 5.15 states/eV per cell
final energy = -4.11 eV/atom
E_form = -336.5 meV per atom

---

Entry 14:
Here is Ho2TlPb3 after structural relaxation from Alexandria via LeMat-Bulk. Energies are from GGA-PBE.

Geometry as POSCAR:
```
Ho2TlPb3
1.0
7.8274 -5.2810 0.0000
7.8274 5.2810 0.0000
0.0000 0.0000 4.6017
Ho Tl Pb
4 2 6
Cartesian
2.1311 1.4326 1.1504 Ho
13.5237 -1.4326 3.4513 Ho
2.1311 -1.4326 3.4513 Ho
13.5237 1.4326 1.1504 Ho
7.8274 4.0797 1.1504 Tl
7.8274 -4.0797 3.4513 Tl
4.4092 1.0672 3.4513 Pb
4.4092 -1.0672 1.1504 Pb
7.8274 1.1645 3.4513 Pb
7.8274 -1.1645 1.1504 Pb
11.2456 1.0672 3.4513 Pb
11.2456 -1.0672 1.1504 Pb
```

Results
crystal system = orthorhombic
relative energy among the computed polymorphs = 173.9 meV per atom
SG = Cmcm, No. 63
density of states at the Fermi level = 5.34 states/eV per cell
final energy = -3.94 eV/atom
E_form = -162.6 meV per atom

---

Entry 15:
Here is HoTl2Pb5 after structural relaxation from Alexandria via LeMat-Bulk. Energies are from GGA-PBE.

Geometry as POSCAR:
```
HoTl2Pb5
1.0
8.0162 0.0000 0.0000
0.0000 8.0162 0.0000
0.0000 0.0000 7.4973
Ho Tl Pb
2 4 10
Cartesian
0.0000 0.0000 0.0000 Ho
4.0081 4.0081 3.7487 Ho
0.0000 4.0081 0.0000 Tl
0.0000 4.0081 3.7487 Tl
4.0081 0.0000 0.0000 Tl
4.0081 0.0000 3.7487 Tl
0.0000 0.0000 3.7487 Pb
2.0040 2.0040 1.8743 Pb
2.0040 2.0040 5.6230 Pb
2.0040 6.0121 1.8743 Pb
2.0040 6.0121 5.6230 Pb
4.0081 4.0081 0.0000 Pb
6.0121 2.0040 1.8743 Pb
6.0121 2.0040 5.6230 Pb
6.0121 6.0121 1.8743 Pb
6.0121 6.0121 5.6230 Pb
```

Results
crystal system = tetragonal
SG = I4/mmm, No. 139
density of states at the Fermi level = 6.08 states/eV per cell
final energy = -3.56 eV/atom
E_form = -78.8 meV per atom

---

Entry 16:
Here is HoTl2Pb2 after structural relaxation from Alexandria via LeMat-Bulk. Energies are from GGA-PBE.

Geometry as POSCAR:
```
HoTl2Pb2
1.0
5.8470 -3.0143 0.0000
5.8470 3.0143 0.0000
-3.1922 0.0000 8.2443
Ho Tl Pb
2 4 4
Cartesian
3.4528 2.0311 6.1832 Ho
5.0489 -2.0311 2.0611 Ho
0.3608 0.9621 5.3951 Tl
1.9569 -0.9621 1.2729 Tl
6.5448 0.9621 6.9713 Tl
8.1409 -0.9621 2.8492 Tl
4.6510 1.0218 0.4670 Pb
5.4469 1.0218 3.6551 Pb
3.0549 -1.0218 4.5892 Pb
3.8508 -1.0218 7.7772 Pb
```

Results
crystal system = monoclinic
relative energy among the computed polymorphs = 14.0 meV per atom
SG = C2/c, No. 15
density of states at the Fermi level = 5.87 states/eV per cell
final energy = -3.48 eV/atom
E_form = -131.0 meV per atom

---

Entry 17:
Here is Ho4Tl3Pb after structural relaxation from Alexandria via LeMat-Bulk. Energies are from GGA-PBE.

Geometry as POSCAR:
```
Ho4Tl3Pb
1.0
18.0167 0.0000 0.0000
0.0000 5.0141 0.0000
-1.3883 0.0000 4.8185
Ho Tl Pb
8 6 2
Cartesian
2.1019 0.0000 0.6116 Ho
1.4079 2.5071 3.0204 Ho
6.2121 0.0000 1.7981 Ho
5.5181 2.5071 4.2068 Ho
10.4163 0.0000 3.0204 Ho
11.1103 2.5071 0.6116 Ho
14.5265 0.0000 4.2068 Ho
15.2205 2.5071 1.7981 Ho
-0.6942 0.0000 2.4092 Tl
3.4614 0.0000 3.6147 Tl
4.1587 2.5071 1.2038 Tl
8.3142 2.5071 2.4092 Tl
13.1670 0.0000 1.2038 Tl
12.4697 2.5071 3.6147 Tl
0.0000 2.5071 0.0000 Pb
9.0084 0.0000 0.0000 Pb
```

Results
crystal system = monoclinic
SG = C2/m, No. 12
density of states at the Fermi level = 13.12 states/eV per cell
final energy = -3.99 eV/atom
E_form = -346.7 meV per atom

---

Entry 18:
Here is Ho3TlPb12 after structural relaxation from Alexandria via LeMat-Bulk. Energies are from GGA-PBE.

Geometry as POSCAR:
```
Ho3TlPb12
1.0
4.8569 0.0000 0.0000
0.0000 4.8569 0.0000
0.0000 0.0000 20.0698
Ho Tl Pb
3 1 12
Cartesian
0.0000 0.0000 0.0000 Ho
0.0000 0.0000 4.7671 Ho
0.0000 0.0000 15.3027 Ho
0.0000 0.0000 10.0349 Tl
0.0000 2.4285 2.4347 Pb
0.0000 2.4285 7.4309 Pb
0.0000 2.4285 12.6389 Pb
0.0000 2.4285 17.6351 Pb
2.4285 0.0000 2.4347 Pb
2.4285 0.0000 7.4309 Pb
2.4285 0.0000 12.6389 Pb
2.4285 0.0000 17.6351 Pb
2.4285 2.4285 0.0000 Pb
2.4285 2.4285 4.9752 Pb
2.4285 2.4285 10.0349 Pb
2.4285 2.4285 15.0945 Pb
```

Results
crystal system = tetragonal
SG = P4/mmm, No. 123
density of states at the Fermi level = 7.90 states/eV per cell
final energy = -3.98 eV/atom
E_form = -189.9 meV per atom

---

Entry 19:
Here is Ho6Tl5Pb after structural relaxation from Alexandria via LeMat-Bulk. Energies are from GGA-PBE.

Geometry as POSCAR:
```
Ho6Tl5Pb
1.0
-2.6849 3.7717 8.0588
2.6849 -3.7717 8.0588
2.6849 3.7717 -8.0588
Ho Tl Pb
6 5 1
Cartesian
2.6849 1.8872 -2.6881 Ho
0.0000 1.8870 0.0000 Ho
2.6849 1.8872 2.6881 Ho
0.0000 1.8846 5.3707 Ho
0.0000 5.6564 0.0000 Ho
0.0000 1.8846 10.7469 Ho
2.6849 0.0000 0.0000 Tl
0.0000 0.0000 2.6735 Tl
2.6849 0.0000 5.3274 Tl
0.0000 3.7717 2.7314 Tl
0.0000 0.0000 13.4441 Tl
0.0000 0.0000 8.0588 Pb
```

Results
crystal system = orthorhombic
relative energy among the computed polymorphs = 0.0 meV per atom
SG = Immm, No. 71
density of states at the Fermi level = 7.71 states/eV per cell
final energy = -3.92 eV/atom
E_form = -333.6 meV per atom

---

Entry 20:
Here is HoTlPb after structural relaxation from Alexandria via LeMat-Bulk. Energies are from GGA-PBE.

Geometry as POSCAR:
```
HoTlPb
1.0
3.8435 0.0000 0.0000
0.0000 3.8435 0.0000
0.0000 0.0000 11.5650
Ho Tl Pb
2 2 2
Cartesian
0.0000 0.0000 0.0000 Ho
1.9217 1.9217 5.7825 Ho
0.0000 0.0000 3.8802 Tl
1.9217 1.9217 9.6627 Tl
0.0000 0.0000 7.7976 Pb
1.9217 1.9217 2.0151 Pb
```

Results
crystal system = tetragonal
relative energy among the computed polymorphs = 152.8 meV per atom
SG = I4mm, No. 107
density of states at the Fermi level = 5.34 states/eV per cell
final energy = -3.69 eV/atom
E_form = -136.1 meV per atom